[1]
# K2RhI6

Crystalline K2RhI6 at its relaxed geometry (PBE, Alexandria via LeMat-Bulk).

The calculated density is 3705 kg/m3. The value obtained for the magnetic moment is 2.2 μB/cell.

a = 7.559 Å, b = 7.559 Å, c = 14.785 Å
α = 90.00°, β = 90.00°, γ = 90.00°
Space group P4_2/mnm (No. 136)
Unique sites:
1 K 0.000 0.000 0.168 (multiplicity 4)
2 Rh 0.000 0.000 0.500 (multiplicity 2)
3 I 0.176 0.176 0.369 (multiplicity 8)
4 I 0.249 0.249 0.000 (multiplicity 4)



[2]
# KRh2I2

Crystalline KRh2I2 at its relaxed geometry (PBE, Alexandria via LeMat-Bulk).

The calculated density is 6206 kg/m3. The value obtained for the magnetic moment is 3.8 μB/cell.

a = 4.333 Å, b = 4.333 Å, c = 14.218 Å
α = 90.00°, β = 90.00°, γ = 90.00°
Space group I4/mmm (No. 139)
Unique sites:
1 K 0.000 0.000 0.000 (multiplicity 2)
2 Rh 0.000 0.500 0.250 (multiplicity 4)
3 I 0.000 0.000 0.363 (multiplicity 4)



DFT total energy
In order: -0.0998; -0.1392
Unit: Ha/atom